ZnCdTcPd2 | GGA-PBE | relaxed

Results
Total moment (μB per cell): 0.0
Energy of formation (eV/atom): 1.101

Unit cell a=4.774 b=4.774 c=5.250 alpha=90.00 beta=90.00 gamma=90.00
Space group P4/mmm (No. 123)
Inequivalent atoms, fractional coordinates:
Zn 0.000 0.000 0.000 (multiplicity 1)
Cd 0.500 0.500 0.000 (multiplicity 1)
Tc 0.500 0.500 0.500 (multiplicity 1)
Pd 0.000 0.500 0.500 (multiplicity 2)

---

ZrCdTcPd2 | GGA-PBE | relaxed

Results
Total moment (μB per cell): 1.4
Energy of formation (eV/atom): 1.436

Unit cell a=4.809 b=4.809 c=5.220 alpha=90.00 beta=90.00 gamma=90.00
Space group P4/mmm (No. 123)
Inequivalent atoms, fractional coordinates:
Zr 0.000 0.000 0.000 (multiplicity 1)
Cd 0.000 0.000 0.500 (multiplicity 1)
Tc 0.500 0.500 0.000 (multiplicity 1)
Pd 0.000 0.500 0.500 (multiplicity 2)